EuScGaHg | PBE | relaxed

The formation energy comes out at -9.74 kcal/mol of atoms. The calculation puts the density at 8.03 g/cm3. The calculation puts the final energy at -5.406 eV/atom.

The space group is F-43m (No. 216) and the conventional cell measures 7.2845, 7.2845 and 7.2845 Å, with angles of 90.00, 90.00 and 90.00 degrees. The distinct sites, in fractional coordinates, are Eu at (0.0000, 0.0000, 0.0000), Sc at (0.0000, 0.0000, 0.5000), Ga at (0.2500, 0.2500, 0.7500) and Hg at (0.2500, 0.2500, 0.2500).